(1)
DFT (PBE-GGA) results for a relaxed NdFe2Ni9 crystal.

Output
- E_tot (eV for the cell shown) = -72.5

Cell and atoms, written as POSCAR:
```
NdFe2Ni9
1.0
2.6575 0.0000 0.0000
0.0000 8.1314 0.0000
0.0000 -4.0657 7.0420
Fe Ni Nd
2 9 1
Direct
0.0000 0.6667 0.3333
0.0000 0.3333 0.6667
0.5000 0.8115 0.1885
0.0000 0.0000 0.5000
0.0000 0.5000 0.5000
0.5000 0.3769 0.1885
0.5000 0.1885 0.3769
0.5000 0.8115 0.6231
0.5000 0.1885 0.8115
0.0000 0.5000 0.0000
0.5000 0.6231 0.8115
0.0000 0.0000 0.0000
```

(2)
DFT (PBE-GGA) results for a relaxed NdFe2Ni4 crystal.

Output
- E_tot (eV for the cell shown) = -45.7

Cell and atoms, written as POSCAR:
```
NdFe2Ni4
1.0
4.2764 0.0038 2.2910
1.9881 4.4510 1.4301
0.0423 -0.3192 5.0701
Fe Nd Ni
2 1 4
Direct
0.2501 0.4999 0.4999
0.7499 0.5001 0.5001
0.0000 0.0000 0.0000
0.3042 0.3915 0.0000
0.3042 0.0000 0.3916
0.6958 0.0000 0.6084
0.6958 0.6085 0.0000
```